No. 1
Entry from Alexandria: Li3Ce2I9 after structural relaxation (PBE-GGA).

symmetry = P6_3/mcm
E_tot = -98.4 eV for the cell shown
mass density = 3.7 g/cm³

Cell lengths 8.0743, 8.0743, 23.1588 Å; angles 90.00, 90.00, 120.00 degrees
Fractional coordinates of all 28 atoms:
Li 0.6653 0.6653 0.2500
Li 0.3347 0.0000 0.2500
Li 0.0000 0.3347 0.2500
Li 0.0000 0.6653 0.7500
Li 0.6653 0.0000 0.7500
Li 0.3347 0.3347 0.7500
Ce 0.6667 0.3333 0.4999
Ce 0.6667 0.3333 0.0001
Ce 0.3333 0.6667 0.9999
Ce 0.3333 0.6667 0.5001
I 0.6681 0.6681 0.7500
I 0.6401 0.6403 0.4221
I 0.6401 0.6403 0.0779
I 0.3319 0.0000 0.7500
I 0.0002 0.3599 0.0779
I 0.0002 0.3599 0.4221
I 0.3597 0.9998 0.0779
I 0.3597 0.9998 0.4221
I 0.0000 0.6681 0.2500
I 0.0000 0.3319 0.7500
I 0.6403 0.0002 0.9221
I 0.6403 0.0002 0.5779
I 0.9998 0.6401 0.5779
I 0.9998 0.6401 0.9221
I 0.6681 0.0000 0.2500
I 0.3599 0.3597 0.5779
I 0.3599 0.3597 0.9221
I 0.3319 0.3319 0.2500

---

No. 2
Entry from Alexandria: ZnCu2Br after structural relaxation (PBE-GGA).

symmetry = I4/mmm
relative energy among the computed polymorphs = 408 meV/atom
E_tot = -9.3 eV for the cell shown
mass density = 6.8 g/cm³

Cell lengths 5.3237, 5.3237, 5.3237 Å; angles 138.03, 138.03, 60.86 degrees
Fractional coordinates of all 4 atoms:
Br 0.7500 0.2500 0.5000
Cu 0.0000 0.0000 0.0000
Cu 0.5000 0.5000 0.0000
Zn 0.2500 0.7500 0.5000

---

No. 3
Entry from Alexandria: PmEr6Sc12 after structural relaxation (PBE-GGA).

symmetry = R-3m
E_tot = -98.7 eV for the cell shown
mass density = 5.1 g/cm³

Cell lengths 8.3190, 8.3190, 8.3190 Å; angles 100.03, 100.03, 100.03 degrees
Fractional coordinates of all 19 atoms:
Pm 0.0000 0.0000 0.0000
Er 0.7376 0.2209 0.2209
Er 0.2209 0.2209 0.7376
Er 0.2209 0.7376 0.2209
Er 0.7791 0.7791 0.2624
Er 0.2624 0.7791 0.7791
Er 0.7791 0.2624 0.7791
Sc 0.8852 0.1148 0.5000
Sc 0.8335 0.5428 0.5428
Sc 0.5428 0.5428 0.8335
Sc 0.4572 0.1665 0.4572
Sc 0.4572 0.4572 0.1665
Sc 0.1665 0.4572 0.4572
Sc 0.1148 0.5000 0.8852
Sc 0.5000 0.8852 0.1148
Sc 0.1148 0.8852 0.5000
Sc 0.8852 0.5000 0.1148
Sc 0.5000 0.1148 0.8852
Sc 0.5428 0.8335 0.5428

---

No. 4
Entry from Alexandria: Ti4ReOs2 after structural relaxation (PBE-GGA).

symmetry = I4/mmm
E_tot = -68.8 eV for the cell shown
mass density = 10.9 g/cm³

Cell lengths 5.3202, 5.3202, 5.3202 Å; angles 109.97, 109.22, 109.22 degrees
Fractional coordinates of all 7 atoms:
Ti 0.5000 0.0000 0.0000
Ti 0.5000 0.5000 0.5000
Ti 0.0000 0.0000 0.5000
Ti 0.0000 0.5000 0.0000
Re 0.0000 0.0000 0.0000
Os 0.5000 0.5000 0.0000
Os 0.5000 0.0000 0.5000

---

No. 5
Entry from Alexandria: TlPd6Au3 after structural relaxation (PBE-GGA).

symmetry = P2_1/m
relative energy among the computed polymorphs = 0 meV/atom
E_tot = -88.8 eV for the cell shown
mass density = 14.1 g/cm³

Cell lengths 4.1418, 8.8653, 9.1935 Å; angles 93.01, 90.00, 90.00 degrees
Fractional coordinates of all 20 atoms:
Tl 0.2500 0.9374 0.6189
Tl 0.7500 0.0626 0.3811
Pd 0.2500 0.4536 0.0992
Pd 0.7500 0.5464 0.9008
Pd 0.2500 0.1585 0.1926
Pd 0.7500 0.8415 0.8074
Pd 0.2500 0.6403 0.7033
Pd 0.7500 0.3597 0.2967
Pd 0.2500 0.2473 0.4982
Pd 0.7500 0.7527 0.5018
Pd 0.2500 0.8571 0.3035
Pd 0.7500 0.1429 0.6965
Pd 0.2500 0.0483 0.9050
Pd 0.7500 0.9517 0.0950
Au 0.2500 0.5536 0.4006
Au 0.7500 0.4464 0.5994
Au 0.2500 0.3438 0.8007
Au 0.7500 0.6562 0.1993
Au 0.2500 0.7500 0.9991
Au 0.7500 0.2500 0.0009

---

- Which of these has the lowest E_tot?
  PmEr6Sc12